Here is a relaxed structure of ZrInAg from Alexandria. Energies are from PBE.

Structure (extended XYZ):
```
6
Lattice="4.3007 0.0002 -0.0002 -4.2978 7.1231 -0.0020 0.0025 1.3124 4.1176" Properties=species:S:1:pos:R:3 pbc="T T T"
Zr -0.8778 7.8270 3.6502
Zr -0.8802 2.2679 0.8871
In 1.2698 4.3604 0.2189
In -3.0291 7.2798 1.5570
Ag -0.8792 4.9493 2.3003
Ag 1.2710 2.9065 2.9510
```

## Properties
- Energy relative to the elements: -0.15 eV per atom
- Space group: Amm2 (38)

---

Here is a relaxed structure of Li2NbInF8 from Alexandria. Energies are from PBE.

Structure (extended XYZ):
```
12
Lattice="4.8747 -0.5925 0.0121 1.7230 4.5983 0.0121 0.3235 0.1964 7.8577" Properties=species:S:1:pos:R:3 pbc="T T T"
Li 3.4095 2.0701 2.6001
Li 3.5117 2.1322 5.2817
F 2.3350 1.4177 4.0019
F 1.9583 1.1890 7.8215
F 4.1935 0.5848 1.4294
F 2.7277 3.6175 6.4524
F 4.4679 0.7514 6.4524
F 4.9628 3.0133 0.0602
F 2.4533 3.4509 1.4294
F 4.5862 2.7846 3.8799
Nb 0.0000 0.0000 0.0000
In 0.1618 0.0982 3.9288
```

## Properties
- Energy relative to the elements, uncorrected: -2.74 eV/atom
- Space group: C2/m (12)

---

Here is a relaxed structure of Ca3TiOs from Alexandria. Energies are from PBE.

Structure (extended XYZ):
```
5
Lattice="5.3557 0.0000 0.0000 0.0000 5.3557 0.0000 0.0000 0.0000 5.3557" Properties=species:S:1:pos:R:3 pbc="T T T"
Ca 2.6779 0.0000 0.0000
Ca 0.0000 0.0000 2.6779
Ca 0.0000 2.6779 0.0000
Ti 0.0000 0.0000 0.0000
Os 2.6779 2.6779 2.6779
```

## Properties
- Energy relative to the elements: 1.71 eV per atom
- Space group: Pm-3m (221)
- Energy above the lowest structure with this stoichiometry: 0.7640 eV per atom

---

Here is a relaxed structure of CaTeS2O from Alexandria. Energies are from PBE.

Structure (extended XYZ):
```
5
Lattice="-0.2872 4.2287 2.9469 -5.4702 1.3727 -2.5029 -2.3709 -2.7291 3.6850" Properties=species:S:1:pos:R:3 pbc="T T T"
Ca 0.0000 0.0000 0.0000
O -4.0642 1.4361 2.0645
Te -2.7351 0.6863 -1.2514
S -0.1436 2.1143 1.4735
S -1.1855 -1.3646 1.8425
```

## Properties
- Energy relative to the elements, uncorrected: 0.86 eV/atom
- Space group: P4/mmm (123)
- Energy above the lowest structure with this stoichiometry: 0.9114 eV per atom

---

Here is a relaxed structure of Li8AgPd2 from Alexandria. Energies are from PBE.

Structure (extended XYZ):
```
11
Lattice="-3.9296 -0.4429 -1.5892 1.8724 -7.3065 -2.6182 -0.7198 -5.7549 3.3715" Properties=species:S:1:pos:R:3 pbc="T T T"
Li 1.2775 -11.2116 -0.0762
Li -1.3218 -2.7192 -1.6886
Li -1.8436 -4.9090 0.1999
Li -0.9334 -8.5952 -1.0358
Li 1.0884 -6.6102 -0.8787
Li -4.0545 -2.2927 -0.7597
Li -0.7353 -5.0302 -2.5188
Li -3.8654 -6.8941 0.0428
Pd 0.6264 -8.8878 0.9036
Pd 0.5262 -4.1736 -0.1503
Ag -1.9648 -0.2214 -0.7946
```

## Properties
- Energy relative to the elements: -0.23 eV per atom
- Space group: Cmmm (65)
- Energy above the lowest structure with this stoichiometry: 0.0219 eV per atom

---

Here is a relaxed structure of LiBeIn2 from Alexandria. Energies are from PBE.

Structure (extended XYZ):
```
4
Lattice="-2.4508 1.8465 0.3481 -1.7790 -1.7992 -2.9813 -2.4720 -4.0161 3.8988" Properties=species:S:1:pos:R:3 pbc="T T T"
Be -3.9690 -2.9884 1.6075
In -1.2570 -2.0421 1.9825
In -2.4511 -3.9820 3.8657
Li -2.7329 -0.9804 -0.3419
```

## Properties
- Energy relative to the elements: 0.16 eV per atom
- Space group: Pmmm (47)